VASP calculation (GGA-PBE) on a relaxed TlSn2N crystal.

The space group is I-42d (No. 122) and the conventional cell measures 7.037, 7.037 and 7.806 Å, with angles of 90.00, 90.00 and 90.00 degrees. The distinct sites, in fractional coordinates, are Tl at (0.000, 0.000, 0.000), Sn at (0.149, 0.250, 0.625) and N at (0.000, 0.000, 0.500).

As for the final energy: -4.285 eV per atom. For the raw formation energy, the calculation gives 0.390 eV per atom.